The following is a DFT calculation (PBE) of LiThInRu after structural relaxation.

Results
The calculation puts the energy of formation at -1.0 eV per formula unit.

Cell: 4.852 4.852 4.852 Å, 60.00 60.00 60.00°
Positions (direct):
Ru1 0.750 0.750 0.750
Li1 0.250 0.250 0.250
Th1 0.500 0.500 0.500
In1 0.000 0.000 0.000

***

The following is a DFT calculation (PBE) of LiTlInRu after structural relaxation.

Results
The calculation puts the energy of formation at 0.1 eV per formula unit.

Cell: 4.663 4.663 4.663 Å, 60.00 60.00 60.00°
Positions (direct):
Ru1 0.750 0.750 0.750
Tl1 0.000 0.000 0.000
Li1 0.250 0.250 0.250
In1 0.500 0.500 0.500

***

The following is a DFT calculation (PBE) of Li2Tm3In3Ru after structural relaxation.

Results
The calculation puts the energy of formation at -3.5 eV per formula unit.

Cell: 3.348 8.350 8.350 Å, 120.00 90.00 90.00°
Positions (direct):
Li1 0.500 0.667 0.333
Li2 0.500 0.333 0.667
Tm1 0.500 0.736 0.000
Tm2 0.500 0.000 0.736
Tm3 0.500 0.264 0.264
In1 0.000 0.618 0.618
In2 0.000 0.000 0.382
In3 0.000 0.382 0.000
Ru1 0.000 0.000 0.000

***

The following is a DFT calculation (PBE) of LiTmInRu after structural relaxation.

Results
The calculation puts the energy of formation at -1.2 eV per formula unit.

Cell: 4.719 4.719 4.719 Å, 60.00 60.00 60.00°
Positions (direct):
Ru1 0.750 0.750 0.750
Tm1 0.500 0.500 0.500
Li1 0.250 0.250 0.250
In1 0.000 0.000 0.000